# 1
RbAl after structural relaxation, computed with PBE-GGA.

Formation energy from the elements: 0.864 eV per formula unit
Calculated density: 2.3 g cm⁻³
Polymorph energy (0 for the lowest one): 269 meV/atom
Total magnetic moment: 0.000 μB per formula unit
Electronic total energy: -61.5 eV per cell

Cell: 10.521 17.637 6.851 Å, 90.00 90.00 90.00°
Fractional coordinates of all 32 atoms:
Al1 0.750 0.675 0.750
Al2 0.250 0.675 0.250
Al3 0.000 0.425 0.500
Al4 0.500 0.925 0.500
Al5 0.750 0.325 0.250
Al6 0.250 0.325 0.750
Al7 0.000 0.075 0.000
Al8 0.500 0.075 0.500
Al9 0.000 0.575 0.500
Al10 0.000 0.925 0.000
Al11 0.500 0.425 0.000
Al12 0.500 0.575 0.000
Al13 0.250 0.825 0.250
Al14 0.750 0.175 0.250
Al15 0.250 0.175 0.750
Al16 0.750 0.825 0.750
Rb1 0.083 0.250 0.250
Rb2 0.333 0.000 0.000
Rb3 0.833 0.000 0.500
Rb4 0.333 0.500 0.500
Rb5 0.917 0.750 0.250
Rb6 0.083 0.750 0.750
Rb7 0.417 0.250 0.250
Rb8 0.583 0.250 0.750
Rb9 0.667 0.000 0.000
Rb10 0.917 0.250 0.750
Rb11 0.167 0.000 0.500
Rb12 0.667 0.500 0.500
Rb13 0.417 0.750 0.750
Rb14 0.833 0.500 0.000
Rb15 0.583 0.750 0.250
Rb16 0.167 0.500 0.000

# 2
RbAl4 after structural relaxation, computed with PBE-GGA.

Formation energy from the elements: 8.977 eV per formula unit
Calculated density: 1.6 g cm⁻³
Total magnetic moment: 0.000 μB per formula unit
Electronic total energy: -7.0 eV per cell

Cell: 5.898 5.898 5.898 Å, 90.00 90.00 90.00°
Fractional coordinates of all 5 atoms:
Al1 0.000 0.500 0.500
Al2 0.500 0.000 0.500
Al3 0.500 0.500 0.000
Al4 0.000 0.000 0.000
Rb1 0.500 0.500 0.500

# 3
RbAlRe3 after structural relaxation, computed with PBE-GGA.

Formation energy from the elements: 20.014 eV per formula unit
Calculated density: 10.7 g cm⁻³
Polymorph energy (0 for the lowest one): 1630 meV/atom
Total magnetic moment: 2.231 μB per formula unit
Electronic total energy: -22.0 eV per cell

Cell: 4.700 4.700 4.700 Å, 90.00 90.00 90.00°
Each line ends with the local moment (μB).
Fractional coordinates of all 5 atoms:
Rb1 0.000 0.000 0.000  0.02
Re1 0.000 0.500 0.000  0.65
Re2 0.000 0.000 0.500  0.62
Re3 0.500 0.000 0.000  0.69
Al1 0.500 0.500 0.500  -0.02

What did the third record say?
RbAlRe3 after structural relaxation, computed with PBE-GGA.

Formation energy from the elements: 20.014 eV per formula unit
Calculated density: 10.7 g cm⁻³
Polymorph energy (0 for the lowest one): 1630 meV/atom
Total magnetic moment: 2.231 μB per formula unit
Electronic total energy: -22.0 eV per cell

Cell: 4.700 4.700 4.700 Å, 90.00 90.00 90.00°
Each line ends with the local moment (μB).
Fractional coordinates of all 5 atoms:
Rb1 0.000 0.000 0.000  0.02
Re1 0.000 0.500 0.000  0.65
Re2 0.000 0.000 0.500  0.62
Re3 0.500 0.000 0.000  0.69
Al1 0.500 0.500 0.500  -0.02

Among the records above, which one has the highest formation energy from the elements?
RbAlRe3

What is the electronic total energy in the first record?
-61.5 eV per cell

What is the formation energy from the elements in the first record?
0.864 eV per formula unit